Record 1
HoAlFe after structural relaxation. Source: Alexandria via LeMat-Bulk, functional PBE.

Lattice parameters (Å, degrees): 8.6754 5.3759 9.1689 90.00 90.00 90.00
Space group Amm2 (No. 38)
Symmetry-distinct sites (fractional):
Ho 0.1759 0.0000 0.0000 x4
Ho 0.3039 0.0000 0.3350 x4
Al 0.2333 0.0000 0.6737 x4
Al 0.5000 0.2475 0.0813 x4
Fe 0.0000 0.0000 0.4956 x2
Fe 0.0000 0.2312 0.2580 x4
Fe 0.5000 0.0000 0.8348 x2

Summary:
As for the formation energy: -29.92 kJ per mole of atoms. Its calculated total energy is -17.713 eV/f.u. The value obtained for the density is 7.70 g/cm³. For the density of states at the Fermi level, the calculation gives 0.72 states/eV per atom.


Record 2
Dy3ScSb2 after structural relaxation. Source: Alexandria via LeMat-Bulk, functional PBE.

Lattice parameters (Å, degrees): 4.4083 4.4083 8.3477 90.00 90.00 90.00
Space group P-4m2 (No. 115)
Symmetry-distinct sites (fractional):
Dy 0.0000 0.0000 0.0000 x1
Dy 0.0000 0.5000 0.6506 x2
Sc 0.5000 0.5000 0.0000 x1
Sb 0.0000 0.5000 0.2746 x2

Summary:
The uncorrected formation energy is -819 meV/atom. Its calculated total energy is -33.298 eV/f.u. The value obtained for the density is 7.94 g/cm³. For the density of states at the Fermi level, the calculation gives 0.84 states/eV per atom.


Record 3
Rb3Nd2ErO6 after structural relaxation. Source: Alexandria via LeMat-Bulk, functional PBE.

Lattice parameters (Å, degrees): 6.2445 10.8177 6.9116 90.00 107.50 90.00
Space group C2/m (No. 12)
Symmetry-distinct sites (fractional):
Rb 0.0000 0.0000 0.0000 x2
Rb 0.0000 0.3348 0.0000 x4
Nd 0.0000 0.1667 0.5000 x4
Er 0.0000 0.5000 0.5000 x2
O 0.2198 0.3396 0.6783 x8
O 0.2386 0.0000 0.6783 x4

Summary:
The uncorrected formation energy is -2605 meV/atom. Its calculated total energy is -78.009 eV/f.u. The value obtained for the density is 6.03 g/cm³. For the density of states at the Fermi level, the calculation gives 0.00 states/eV per atom.


Record 4
ZrIn3 after structural relaxation. Source: Alexandria via LeMat-Bulk, functional PBE.

Lattice parameters (Å, degrees): 3.1769 3.1769 9.7579 90.00 90.00 90.00
Space group P4/mmm (No. 123)
Symmetry-distinct sites (fractional):
Zr 0.0000 0.0000 0.0000 x1
In 0.0000 0.0000 0.5000 x1
In 0.5000 0.5000 0.2272 x2

Summary:
As for the formation energy: -6.92 kJ per mole of atoms. Its calculated total energy is -17.050 eV/f.u. The value obtained for the density is 7.35 g/cm³. For the density of states at the Fermi level, the calculation gives 0.74 states/eV per atom.


> Among the records above, which one has the highest calculated total energy?

ZrIn3